1.
Here is crystalline CaNi3Hg at its relaxed geometry from the Alexandria database. Energies are from GGA-PBE.

CIF file:
```
data_CaNi3Hg
_chemical_formula_sum 'Ca1 Ni3 Hg1'
_cell_length_a 4.572
_cell_length_b 4.572
_cell_length_c 4.572
_cell_angle_alpha 90.00
_cell_angle_beta 90.00
_cell_angle_gamma 90.00
_space_group_name_H-M_alt 'P m -3 m'
_space_group_IT_number 221
_space_group_name_Hall '-P 4 2 3'
loop_
_atom_site_label
_atom_site_type_symbol
_atom_site_fract_x
_atom_site_fract_y
_atom_site_fract_z
Ca1 Ca 0.000 0.000 0.000
Ni1 Ni 0.000 0.000 0.500
Hg1 Hg 0.500 0.500 0.500
```

Values from the calculation:
energy of formation from the pure elements = 1311.2 meV per atom
E above lowest polymorph = 0.590 eV/atom
E = -2.618 eV per atom

---

2.
Here is crystalline CeHo2Lu at its relaxed geometry from the Alexandria database. Energies are from GGA-PBE.

CIF file:
```
data_CeHo2Lu
_chemical_formula_sum 'Ce4 Ho8 Lu4'
_cell_length_a 7.927
_cell_length_b 7.927
_cell_length_c 7.927
_cell_angle_alpha 90.00
_cell_angle_beta 90.00
_cell_angle_gamma 90.00
_space_group_name_H-M_alt 'F m -3 m'
_space_group_IT_number 225
_space_group_name_Hall '-F 4 2 3'
loop_
_atom_site_label
_atom_site_type_symbol
_atom_site_fract_x
_atom_site_fract_y
_atom_site_fract_z
Ce1 Ce 0.000 0.000 0.000
Ho1 Ho 0.250 0.250 0.250
Lu1 Lu 0.000 0.000 0.500
```

Values from the calculation:
energy of formation from the pure elements = 176.5 meV per atom
E above lowest polymorph = 0.110 eV/atom
E = -4.726 eV per atom

---

3.
Here is crystalline PmSm6Er8 at its relaxed geometry from the Alexandria database. Energies are from GGA-PBE.

CIF file:
```
data_PmSm6Er8
_chemical_formula_sum 'Pm3 Sm18 Er24'
_cell_length_a 9.0447
_cell_length_b 9.0447
_cell_length_c 20.7093
_cell_angle_alpha 90.00
_cell_angle_beta 90.00
_cell_angle_gamma 120.00
_space_group_name_H-M_alt 'R -3'
_space_group_IT_number 148
_space_group_name_Hall '-R 3'
loop_
_atom_site_label
_atom_site_type_symbol
_atom_site_fract_x
_atom_site_fract_y
_atom_site_fract_z
Pm1 Pm 0.0000 0.0000 0.0000
Sm1 Sm 0.0641 0.8165 0.7096
Er1 Er 0.0000 0.0000 0.4236
Er2 Er 0.0804 0.5267 0.8083
```

Values from the calculation:
energy of formation from the pure elements = 128.1 meV per atom
E = -4.510 eV per atom

---

4.
Here is crystalline LaTb2Y3Bi6 at its relaxed geometry from the Alexandria database. Energies are from GGA-PBE.

CIF file:
```
data_LaTb2Y3Bi6
_chemical_formula_sum 'La2 Tb4 Y6 Bi12'
_cell_length_a 7.840
_cell_length_b 13.582
_cell_length_c 7.832
_cell_angle_alpha 90.00
_cell_angle_beta 109.51
_cell_angle_gamma 90.00
_space_group_name_H-M_alt 'C 1 2/m 1'
_space_group_IT_number 12
loop_
_space_group_symop_operation_xyz
'x,y,z'
'-x,-y,-z'
'-x,y,-z'
'x,-y,z'
'x+1/2,y+1/2,z'
'-x+1/2,-y+1/2,-z'
'-x+1/2,y+1/2,-z'
'x+1/2,-y+1/2,z'
loop_
_atom_site_label
_atom_site_type_symbol
_atom_site_fract_x
_atom_site_fract_y
_atom_site_fract_z
La1 La 0.000 0.000 0.000
Tb1 Tb 0.000 0.332 0.000
Y1 Y 0.000 0.164 0.500
Y2 Y 0.000 0.500 0.500
Bi1 Bi 0.244 0.500 0.252
Bi2 Bi 0.245 0.330 0.745
```

Values from the calculation:
energy of formation from the pure elements = -913.7 meV per atom
E = -5.653 eV per atom

---

5.
Here is crystalline LiTePbO5 at its relaxed geometry from the Alexandria database. Energies are from GGA-PBE.

CIF file:
```
data_LiTePbO5
_chemical_formula_sum 'Li4 Te4 Pb4 O20'
_cell_length_a 6.442
_cell_length_b 11.094
_cell_length_c 8.074
_cell_angle_alpha 90.00
_cell_angle_beta 112.91
_cell_angle_gamma 90.00
_space_group_name_H-M_alt 'C 1 2/c 1'
_space_group_IT_number 15
loop_
_space_group_symop_operation_xyz
'x,y,z'
'-x,-y,-z'
'-x,y,-z+1/2'
'x,-y,z+1/2'
'x+1/2,y+1/2,z'
'-x+1/2,-y+1/2,-z'
'-x+1/2,y+1/2,-z+1/2'
'x+1/2,-y+1/2,z+1/2'
loop_
_atom_site_label
_atom_site_type_symbol
_atom_site_fract_x
_atom_site_fract_y
_atom_site_fract_z
Li1 Li 0.000 0.247 0.250
Te1 Te 0.000 0.213 0.750
Pb1 Pb 0.000 0.500 0.000
O1 O 0.000 0.427 0.250
O2 O 0.166 0.119 0.946
O3 O 0.179 0.308 0.667
```

Values from the calculation:
uncorrected formation energy = -1.06 eV/atom
E = -5.250 eV per atom

---

6.
Here is crystalline Rb2ZrAlTe at its relaxed geometry from the Alexandria database. Energies are from GGA-PBE.

CIF file:
```
data_Rb2ZrAlTe
_chemical_formula_sum 'Rb2 Zr1 Al1 Te1'
_cell_length_a 6.463
_cell_length_b 6.463
_cell_length_c 5.428
_cell_angle_alpha 90.00
_cell_angle_beta 90.00
_cell_angle_gamma 90.00
_space_group_name_H-M_alt 'P 4/m m m'
_space_group_IT_number 123
_space_group_name_Hall '-P 4 2'
loop_
_atom_site_label
_atom_site_type_symbol
_atom_site_fract_x
_atom_site_fract_y
_atom_site_fract_z
Rb1 Rb 0.000 0.500 0.000
Zr1 Zr 0.000 0.000 0.000
Al1 Al 0.000 0.000 0.500
Te1 Te 0.500 0.500 0.500
```

Values from the calculation:
uncorrected formation energy = 0.83 eV/atom
E = -2.644 eV per atom

---

7.
Here is crystalline NdDy2Y5 at its relaxed geometry from the Alexandria database. Energies are from GGA-PBE.

CIF file:
```
data_NdDy2Y5
_chemical_formula_sum 'Nd4 Dy8 Y20'
_cell_length_a 5.587
_cell_length_b 11.967
_cell_length_c 15.821
_cell_angle_alpha 90.00
_cell_angle_beta 90.00
_cell_angle_gamma 90.00
_space_group_name_H-M_alt 'C m c m'
_space_group_IT_number 63
_space_group_name_Hall '-C 2c 2'
loop_
_atom_site_label
_atom_site_type_symbol
_atom_site_fract_x
_atom_site_fract_y
_atom_site_fract_z
Nd1 Nd 0.000 0.228 0.250
Dy1 Dy 0.000 0.283 0.629
Y1 Y 0.000 0.044 0.750
Y2 Y 0.000 0.119 0.049
Y3 Y 0.000 0.420 0.093
```

Values from the calculation:
energy of formation from the pure elements = 135.4 meV per atom
E above lowest polymorph = 0.000 eV/atom
E = -5.651 eV per atom

---

8.
Here is crystalline Tm6CoSb at its relaxed geometry from the Alexandria database. Energies are from GGA-PBE.

CIF file:
```
data_Tm6CoSb
_chemical_formula_sum 'Tm6 Co1 Sb1'
_cell_length_a 6.590
_cell_length_b 6.599
_cell_length_c 7.482
_cell_angle_alpha 90.10
_cell_angle_beta 116.06
_cell_angle_gamma 119.90
_space_group_name_H-M_alt 'P -1'
_space_group_IT_number 2
loop_
_space_group_symop_operation_xyz
'x,y,z'
'-x,-y,-z'
loop_
_atom_site_label
_atom_site_type_symbol
_atom_site_fract_x
_atom_site_fract_y
_atom_site_fract_z
Tm1 Tm 0.049 0.090 0.271
Tm2 Tm 0.313 0.722 0.271
Tm3 Tm 0.317 0.541 0.729
Co1 Co 0.500 0.500 0.500
Sb1 Sb 0.500 0.000 0.000
```

Values from the calculation:
uncorrected formation energy = -0.18 eV/atom
E = -4.934 eV per atom

---

9.
Here is crystalline RbNaGa2Br8 at its relaxed geometry from the Alexandria database. Energies are from GGA-PBE.

CIF file:
```
data_RbNaGa2Br8
_chemical_formula_sum 'Rb3 Na3 Ga6 Br24'
_cell_length_a 6.9824
_cell_length_b 6.9824
_cell_length_c 30.3339
_cell_angle_alpha 90.00
_cell_angle_beta 90.00
_cell_angle_gamma 120.00
_space_group_name_H-M_alt 'R -3'
_space_group_IT_number 148
_space_group_name_Hall '-R 3'
loop_
_atom_site_label
_atom_site_type_symbol
_atom_site_fract_x
_atom_site_fract_y
_atom_site_fract_z
Rb1 Rb 0.0000 0.0000 0.0000
Na1 Na 0.0000 0.0000 0.5000
Ga1 Ga 0.0000 0.0000 0.2509
Br1 Br 0.0000 0.0000 0.3289
Br2 Br 0.9997 0.3555 0.4397
```

Values from the calculation:
uncorrected formation energy = -1.15 eV/atom
E = -2.956 eV per atom

---

10.
Here is crystalline LiTl2CdH at its relaxed geometry from the Alexandria database. Energies are from GGA-PBE.

CIF file:
```
data_LiTl2CdH
_chemical_formula_sum 'Li1 Tl2 Cd1 H1'
_cell_length_a 5.330
_cell_length_b 5.330
_cell_length_c 3.708
_cell_angle_alpha 90.00
_cell_angle_beta 90.00
_cell_angle_gamma 90.00
_space_group_name_H-M_alt 'P 4/m m m'
_space_group_IT_number 123
_space_group_name_Hall '-P 4 2'
loop_
_atom_site_label
_atom_site_type_symbol
_atom_site_fract_x
_atom_site_fract_y
_atom_site_fract_z
Li1 Li 0.000 0.000 0.000
Tl1 Tl 0.000 0.500 0.500
Cd1 Cd 0.500 0.500 0.000
H1 H 0.000 0.000 0.500
```

Values from the calculation:
E = -2.173 eV per atom

---

11.
Here is crystalline SmPuAs2 at its relaxed geometry from the Alexandria database. Energies are from GGA-PBE.

CIF file:
```
data_SmPuAs2
_chemical_formula_sum 'Sm3 Pu3 As6'
_cell_length_a 4.1446
_cell_length_b 4.1446
_cell_length_c 21.1453
_cell_angle_alpha 90.00
_cell_angle_beta 90.00
_cell_angle_gamma 120.00
_space_group_name_H-M_alt 'R 3 m'
_space_group_IT_number 160
_space_group_name_Hall 'R 3 -2"'
loop_
_atom_site_label
_atom_site_type_symbol
_atom_site_fract_x
_atom_site_fract_y
_atom_site_fract_z
Sm1 Sm 0.0000 0.0000 0.0000
Pu1 Pu 0.0000 0.0000 0.1718
As1 As 0.0000 0.0000 0.5823
As2 As 0.0000 0.0000 0.7566
```

Values from the calculation:
energy of formation from the pure elements = -1128.1 meV per atom
E above lowest polymorph = 0.144 eV/atom
E = -8.216 eV per atom

---

12.
Here is crystalline FeNiOs2 at its relaxed geometry from the Alexandria database. Energies are from GGA-PBE.

CIF file:
```
data_FeNiOs2
_chemical_formula_sum 'Fe2 Ni2 Os4'
_cell_length_a 3.742
_cell_length_b 3.742
_cell_length_c 7.290
_cell_angle_alpha 90.00
_cell_angle_beta 90.00
_cell_angle_gamma 90.00
_space_group_name_H-M_alt 'I 4/m m m'
_space_group_IT_number 139
_space_group_name_Hall '-I 4 2'
loop_
_atom_site_label
_atom_site_type_symbol
_atom_site_fract_x
_atom_site_fract_y
_atom_site_fract_z
Fe1 Fe 0.000 0.000 0.000
Ni1 Ni 0.000 0.000 0.500
Os1 Os 0.000 0.500 0.250
```

Values from the calculation:
energy of formation from the pure elements = 164.2 meV per atom
E above lowest polymorph = 0.060 eV/atom
E = -9.012 eV per atom